Entry 1:
Tm8FeIr2 PBE-GGA optimized geometry; space group = Cm (8)
1.0
4.145 -6.153 0.000
4.145 6.153 0.000
-1.880 0.000 5.447
Tm Fe Ir
8 1 2
Cartesian
0.000 0.000 0.000 Tm
0.084 1.575 3.243 Tm
2.607 2.595 0.989 Tm
0.084 -1.575 3.243 Tm
3.093 1.570 4.302 Tm
2.607 -2.595 0.989 Tm
3.093 -1.570 4.302 Tm
5.196 0.000 2.014 Tm
2.920 0.000 0.150 Fe
1.587 3.853 3.749 Ir
1.587 -3.853 3.749 Ir

Entry 2:
Tm4FeIr PBE-GGA optimized geometry; space group = C2/c (15)
1.0
4.374 -6.304 0.000
4.374 6.304 0.000
-3.416 0.000 5.074
Tm Fe Ir
8 2 2
Cartesian
0.175 4.080 4.593 Tm
0.130 0.765 3.678 Tm
3.450 4.080 3.018 Tm
1.838 -0.765 1.141 Tm
3.495 0.765 3.933 Tm
1.883 -4.080 2.056 Tm
5.203 -0.765 1.396 Tm
5.158 -4.080 0.481 Tm
3.520 -6.300 1.269 Fe
1.813 6.300 3.806 Fe
3.520 1.709 1.269 Ir
1.813 -1.709 3.806 Ir

Entry 3:
Tm6Fe2Ir PBE-GGA optimized geometry; space group = Immm (71)
1.0
-4.596 4.638 4.731
4.596 -4.638 4.731
4.596 4.638 -4.731
Tm Fe Ir
12 4 2
Cartesian
4.596 -2.914 3.139 Tm
2.973 2.373 0.000 Tm
6.220 2.373 0.000 Tm
2.865 0.000 2.471 Tm
6.328 0.000 2.471 Tm
0.000 1.724 1.591 Tm
4.596 2.914 3.139 Tm
-1.732 4.638 2.259 Tm
1.732 4.638 2.259 Tm
-1.624 2.265 4.731 Tm
1.624 2.265 4.731 Tm
0.000 7.553 1.591 Tm
1.534 0.000 0.000 Fe
7.659 0.000 0.000 Fe
0.000 0.000 3.689 Fe
0.000 0.000 5.772 Fe
4.596 0.000 0.000 Ir
0.000 4.638 0.000 Ir

Entry 4:
TmZrFeIr PBE-GGA optimized geometry; space group = F-43m (216)
1.0
0.000 3.292 3.292
3.292 0.000 3.292
3.292 3.292 0.000
Tm Zr Fe Ir
1 1 1 1
Cartesian
0.000 0.000 0.000 Tm
3.292 3.292 3.292 Zr
1.646 1.646 1.646 Fe
4.938 4.938 4.938 Ir

Number 1: energy -5.9600 eV per atom. Number 2: energy -6.2676 eV per atom. Number 3: energy -6.1108 eV per atom. Number 4: energy -8.0606 eV per atom.